{
  "formula": "AsC",
  "functional": "GGA-PBE",
  "state": "relaxed",
  "cell": [[5.560, -1.583, 0.000], [5.560, 1.583, 0.000], [-0.874, 0.000, 3.083]],
  "species": ["As", "As", "C", "C"],
  "frac_coords": [[0.144, 0.144, 0.096], [0.856, 0.856, 0.904], [0.333, 0.333, 0.285], [0.667, 0.667, 0.715]],
  "crystal_system": "monoclinic",
  "formation_enthalpy_0k_mev_per_atom": 1438,
  "e_above_lowest_polymorph_mev_per_atom": 897.2,
  "vol_a3_per_atom": 13.6
}